No. 1
9
Lattice="7.872 -1.846 0.000 7.872 1.846 0.000 -6.914 0.000 8.173" Properties=species:S:1:pos:R:3 comment="DyTm6Rh2 PBE relaxed" rho_g_cm3=9.663 final_energy_ev_per_atom=-5.555 e_form_ev_per_atom=-0.429 pbc="T T T"
Dy 0.000 0.000 0.000
Tm -4.445 0.000 5.631
Tm 1.656 0.000 3.148
Tm -1.731 0.000 7.734
Tm 10.561 0.000 0.439
Tm 7.174 0.000 5.024
Tm 13.275 0.000 2.542
Rh 1.288 0.000 5.955
Rh 7.542 0.000 2.217

***

No. 2
9
Lattice="4.571 0.000 0.000 0.000 6.370 3.670 0.000 -6.370 3.670" Properties=species:S:1:pos:R:3 comment="DyTmRh PBE relaxed" rho_g_cm3=10.124 final_energy_ev_per_atom=-6.124 e_form_ev_per_atom=-0.649 e_above_lowest_polymorph_mev_per_atom=0 pbc="T T T"
Dy 0.000 0.000 0.000
Dy 0.000 -2.600 2.843
Dy 0.000 2.600 2.843
Tm 2.286 0.000 2.423
Tm 2.286 -1.663 5.304
Tm 2.286 1.663 5.304
Rh 0.000 0.000 4.345
Rh 2.286 -4.243 4.347
Rh 2.286 4.243 4.347

***

No. 3
4
Lattice="4.750 0.000 0.000 0.000 4.750 0.000 0.000 0.000 3.487" Properties=species:S:1:pos:R:3 comment="DyTmRh2 PBE relaxed" rho_g_cm3=11.339 final_energy_ev_per_atom=-6.864 e_form_ev_per_atom=-0.920 pbc="T T T"
Dy 0.000 0.000 0.000
Tm 2.375 2.375 0.000
Rh 0.000 2.375 1.743
Rh 2.375 0.000 1.743

***

No. 4
12
Lattice="4.802 0.000 0.000 -2.401 4.159 0.000 0.000 0.000 11.735" Properties=species:S:1:pos:R:3 comment="DyTm2Rh3 PBE relaxed" rho_g_cm3=11.465 final_energy_ev_per_atom=-6.871 e_form_ev_per_atom=-0.938 pbc="T T T"
Dy 0.000 2.773 1.966
Dy 2.401 1.386 9.769
Tm 0.000 0.000 0.000
Tm 0.000 0.000 5.868
Tm 0.000 2.773 7.805
Tm 2.401 1.386 3.930
Rh 0.000 0.000 2.955
Rh 0.000 0.000 8.781
Rh 0.000 2.773 4.906
Rh 0.000 2.773 10.755
Rh 2.401 1.386 0.980
Rh 2.401 1.386 6.829

***

No. 5
3
Lattice="4.572 0.000 0.000 -2.286 3.959 0.000 0.000 0.000 3.943" Properties=species:S:1:pos:R:3 comment="DyTmRh PBE relaxed" rho_g_cm3=10.107 final_energy_ev_per_atom=-5.901 e_form_ev_per_atom=-0.426 e_above_lowest_polymorph_mev_per_atom=223 pbc="T T T"
Dy 0.000 0.000 0.000
Tm 0.000 2.639 1.851
Rh 2.286 1.320 2.839

***

No. 6
12
Lattice="8.000 -2.117 0.000 8.000 2.117 0.000 -4.627 0.000 9.574" Properties=species:S:1:pos:R:3 comment="Dy3TmRh2 PBE relaxed" rho_g_cm3=8.832 final_energy_ev_per_atom=-6.098 e_form_ev_per_atom=-0.601 e_above_lowest_polymorph_mev_per_atom=0 pbc="T T T"
Dy -0.149 0.000 2.057
Dy 0.628 0.000 5.697
Dy 0.862 0.000 9.313
Dy 10.512 0.000 0.261
Dy 10.746 0.000 3.876
Dy 11.522 0.000 7.516
Tm 5.297 0.000 3.193
Tm 6.077 0.000 6.381
Rh -1.671 0.000 8.061
Rh 3.425 0.000 5.595
Rh 7.948 0.000 3.979
Rh 13.044 0.000 1.513

***

No. 7
14
Lattice="4.803 -4.895 0.000 4.803 4.895 0.000 0.000 0.000 6.620" Properties=species:S:1:pos:R:3 comment="DyTm3Rh3 PBE relaxed" rho_g_cm3=10.435 final_energy_ev_per_atom=-6.503 e_form_ev_per_atom=-0.779 pbc="T T T"
Dy 2.343 0.000 0.000
Dy 7.264 0.000 0.000
Tm 2.448 0.000 3.310
Tm 4.803 2.402 3.310
Tm 4.803 2.315 0.000
Tm 4.803 -2.315 0.000
Tm 4.803 -2.402 3.310
Tm 7.159 0.000 3.310
Rh 2.402 2.447 1.666
Rh 2.402 2.447 4.954
Rh 2.402 -2.447 1.666
Rh 2.402 -2.447 4.954
Rh 4.803 0.000 1.667
Rh 4.803 0.000 4.953

***

No. 8
10
Lattice="5.806 -4.212 0.000 5.806 4.212 0.000 -5.405 0.000 5.828" Properties=species:S:1:pos:R:3 comment="DyTm3Rh PBE relaxed" rho_g_cm3=8.998 final_energy_ev_per_atom=-5.443 e_form_ev_per_atom=-0.370 e_above_lowest_polymorph_mev_per_atom=0 pbc="T T T"
Dy -1.229 0.000 1.972
Dy 7.435 0.000 3.855
Tm 1.799 1.667 1.246
Tm 1.189 0.000 4.302
Tm 1.799 -1.667 1.246
Tm 4.407 1.667 4.582
Tm 5.017 0.000 1.526
Tm 4.407 -1.667 4.582
Rh -1.845 0.000 5.148
Rh 8.051 0.000 0.680